# Ba4ZrZn

Ba4ZrZn after structural relaxation (PBE-GGA, Alexandria via LeMat-Bulk).

```
6
Lattice="-1.614 -6.295 -3.259 -6.442 -0.859 -3.259 -0.388 -0.345 -7.252" Properties=species:S:1:pos:R:3 pbc="T T T"
Ba -3.973 -5.965 -6.793
Ba -3.359 -2.983 -8.794
Ba -6.393 -3.241 -6.793
Ba -3.164 -2.810 -5.159
Zr 0.000 0.000 0.000
Zn -6.334 -5.625 -10.327
```

- Energy relative to the elements: 0.8386 eV per atom

# BaZrZn2

BaZrZn2 after structural relaxation (PBE-GGA, Alexandria via LeMat-Bulk).

```
4
Lattice="-0.731 -1.631 -4.061 -3.206 -0.927 0.949 -3.940 5.597 -1.538" Properties=species:S:1:pos:R:3 pbc="T T T"
Ba -6.009 2.855 -2.489
Zn -0.740 0.184 0.059
Zn -1.606 0.664 -2.401
Zr -3.096 1.670 -0.114
```

- Energy relative to the elements: 0.0510 eV per atom

Which value of energy relative to the elements does entry 1 give? 0.8386 eV per atom

Among the records above, which one has the lowest energy relative to the elements? BaZrZn2

Among the records above, which one has the highest energy relative to the elements? Ba4ZrZn